Entry 1:
LiYCl2 after structural relaxation, computed with GGA-PBE.

## Properties
- distance to the lowest polymorph of the same formula (eV/f.u.) = 1.33
- energy relative to the elements, uncorrected (kcal/mol of atoms) = -27.0
- V (A^3/atom) = 21.835

```
LiYCl2
1.0
3.642 0.000 0.000
0.000 6.072 0.000
0.000 0.000 3.950
Y Cl Li
1 2 1
direct
0.000 0.500 0.500
0.000 0.000 0.000
0.500 0.500 0.000
0.500 0.000 0.500
```

=====

Entry 2:
BeCI2O after structural relaxation, computed with GGA-PBE.

## Properties
- distance to the lowest polymorph of the same formula (eV/f.u.) = 3.24
- energy relative to the elements, uncorrected (kcal/mol of atoms) = 30.7
- V (A^3/atom) = 17.644

```
BeCI2O
1.0
-0.457 -2.051 -4.585
5.020 -0.021 -0.491
0.124 -3.168 1.405
I C O Be
2 1 1 1
direct
0.500 0.000 0.000
0.000 0.500 0.000
0.000 0.000 0.000
0.000 0.000 0.500
0.500 0.500 0.500
```

=====

Entry 3:
Rb2TlSiI6 after structural relaxation, computed with GGA-PBE.

## Properties
- energy relative to the elements, uncorrected (kcal/mol of atoms) = -17.0
- V (A^3/atom) = 44.826

```
Rb2TlSiI6
1.0
-8.381 -1.789 0.718
1.737 -8.398 -0.644
-2.734 -5.434 6.059
Tl Si I Rb
1 1 6 2
direct
0.000 0.000 0.000
0.500 0.500 0.000
0.731 0.731 0.000
0.731 0.269 0.000
0.269 0.731 0.000
0.269 0.269 0.000
0.269 0.269 0.463
0.731 0.731 0.537
0.750 0.250 0.500
0.250 0.750 0.500
```

=====

Q: What is the formula in the second record?
A: BeCI2O